# AlZnRe2 | Alexandria | PBE | optimized geometry
data_AlZnRe2
_space_group_name_H-M_alt 'P 1'
_space_group_IT_number 1
_cell_length_a 4.714
_cell_length_b 4.714
_cell_length_c 4.777
_cell_angle_alpha 100.55
_cell_angle_beta 100.55
_cell_angle_gamma 34.46
loop_
_space_group_symop_operation_xyz
'x,y,z'
loop_
_atom_site_label
_atom_site_type_symbol
_atom_site_fract_x
_atom_site_fract_y
_atom_site_fract_z
Al1 Al 0.000 0.000 0.000
Zn1 Zn 0.500 0.500 0.500
Re1 Re 0.253 0.253 0.753
Re2 Re 0.747 0.747 0.247
# ΔH_f (0 K) in eV per atom: 0.10
# Energy above the most stable polymorph in this dataset in eV/atom: 0.203
# Total magnetization in μB per formula unit: 0.00
# D(E_F) in states/eV/cell: 2.58
# Energy in eV per atom: -7.374
# Space-group type: C2/m (12)